A plane-wave DFT calculation with GGA-PBE was carried out for Nd2CF2 after structural relaxation.

Unit cell a=3.6432 b=3.6432 c=25.0508 alpha=90.00 beta=90.00 gamma=120.00
Space group R-3m (No. 166, hexagonal axes)
Inequivalent atoms, fractional coordinates:
Nd  0.0000  0.0000  0.1065 [6 per cell]
C  0.0000  0.0000  0.5000 [3 per cell]
F  0.0000  0.0000  0.3858 [6 per cell]

Summary:
For the total magnetization, the calculation gives 0.000 μB per atom. Its formation energy without anion corrections is -2.06 eV per atom.

A plane-wave DFT calculation with GGA-PBE was carried out for Nd6C3F2 after structural relaxation.

Unit cell a=6.4665 b=11.1776 c=6.6204 alpha=90.00 beta=109.08 gamma=90.00
Space group C2/m (No. 12)
Inequivalent atoms, fractional coordinates:
Nd  0.2403  0.1681  0.2247 [8 per cell]
Nd  0.2449  0.5000  0.2230 [4 per cell]
C  0.0000  0.0000  0.0000 [2 per cell]
C  0.0000  0.3323  0.0000 [4 per cell]
F  0.0000  0.1670  0.5000 [4 per cell]

Summary:
For the total magnetization, the calculation gives 0.000 μB per atom. Its formation energy without anion corrections is -1.09 eV per atom.

A plane-wave DFT calculation with GGA-PBE was carried out for Nd3C4O12F after structural relaxation.

Unit cell a=10.0422 b=10.0422 c=10.2226 alpha=90.00 beta=90.00 gamma=120.00
Space group R32 (No. 155, hexagonal axes)
Inequivalent atoms, fractional coordinates:
Nd  0.0000  0.5300  0.0000 [9 per cell]
C  0.0000  0.0000  0.5000 [3 per cell]
C  0.0000  0.4876  0.5000 [9 per cell]
O  0.0000  0.6190  0.5000 [9 per cell]
O  0.0000  0.8715  0.5000 [9 per cell]
O  0.0514  0.2453  0.7512 [18 per cell]
F  0.0000  0.0000  0.0000 [3 per cell]

Summary:
For the total magnetization, the calculation gives 0.006 μB per atom. Its formation energy without anion corrections is -2.16 eV per atom.

A plane-wave DFT calculation with GGA-PBE was carried out for Nd6C2OF3 after structural relaxation.

Unit cell a=6.3262 b=11.0644 c=6.5901 alpha=90.00 beta=107.74 gamma=90.00
Space group C2/m (No. 12)
Inequivalent atoms, fractional coordinates:
Nd  0.2347  0.0000  0.2195 [4 per cell]
Nd  0.2359  0.3342  0.2189 [8 per cell]
C  0.0000  0.1665  0.0000 [4 per cell]
O  0.0000  0.5000  0.0000 [2 per cell]
F  0.0000  0.0000  0.5000 [2 per cell]
F  0.0000  0.2976  0.5000 [4 per cell]

Summary:
For the total magnetization, the calculation gives 0.000 μB per atom. Its formation energy without anion corrections is -1.85 eV per atom.

A plane-wave DFT calculation with GGA-PBE was carried out for NdC2O6F after structural relaxation.

Unit cell a=9.4711 b=9.3735 c=7.4781 alpha=90.00 beta=124.47 gamma=90.00
Space group C2/c (No. 15)
Inequivalent atoms, fractional coordinates:
Nd  0.0000  0.0914  0.2500 [4 per cell]
C  0.2304  0.3675  0.1898 [8 per cell]
O  0.1238  0.0908  0.6374 [8 per cell]
O  0.1349  0.2770  0.1930 [8 per cell]
O  0.2049  0.4345  0.0188 [8 per cell]
F  0.0000  0.4139  0.7500 [4 per cell]

Summary:
For the total magnetization, the calculation gives 0.000 μB per atom. Its formation energy without anion corrections is -1.65 eV per atom.

A plane-wave DFT calculation with GGA-PBE was carried out for PrNdCF after structural relaxation.

Unit cell a=5.2590 b=4.3482 c=7.5968 alpha=90.00 beta=90.00 gamma=90.00
Space group Amm2 (No. 38)
Inequivalent atoms, fractional coordinates:
Pr  0.0000  0.0000  0.0000 [2 per cell]
Nd  0.5000  0.0000  0.6691 [2 per cell]
C  0.5000  0.0000  0.0014 [2 per cell]
F  0.0000  0.0000  0.6686 [2 per cell]

Summary:
For the total magnetization, the calculation gives 0.148 μB per atom. Its formation energy without anion corrections is -1.16 eV per atom.

A plane-wave DFT calculation with GGA-PBE was carried out for NdSmCF after structural relaxation.

Unit cell a=5.2033 b=4.2855 c=7.4970 alpha=90.00 beta=90.00 gamma=90.00
Space group Amm2 (No. 38)
Inequivalent atoms, fractional coordinates:
Nd  0.0000  0.0000  0.0000 [2 per cell]
Sm  0.5000  0.0000  0.6693 [2 per cell]
C  0.5000  0.0000  0.0015 [2 per cell]
F  0.0000  0.0000  0.6689 [2 per cell]

Summary:
For the total magnetization, the calculation gives 0.139 μB per atom. Its formation energy without anion corrections is -1.19 eV per atom.

A plane-wave DFT calculation with GGA-PBE was carried out for TbNdCF after structural relaxation.

Unit cell a=3.5838 b=3.5838 c=19.3957 alpha=90.00 beta=90.00 gamma=120.00
Space group R3m (No. 160, hexagonal axes)
Inequivalent atoms, fractional coordinates:
Tb  0.0000  0.0000  0.0000 [3 per cell]
Nd  0.0000  0.0000  0.8077 [3 per cell]
C  0.0000  0.0000  0.3988 [3 per cell]
F  0.0000  0.0000  0.5800 [3 per cell]

Summary:
For the total magnetization, the calculation gives 0.000 μB per atom. Its formation energy without anion corrections is -1.45 eV per atom.

A plane-wave DFT calculation with GGA-PBE was carried out for NdThCF after structural relaxation.

Unit cell a=3.6651 b=3.6651 c=19.6939 alpha=90.00 beta=90.00 gamma=120.00
Space group R3m (No. 160, hexagonal axes)
Inequivalent atoms, fractional coordinates:
Nd  0.0000  0.0000  0.0000 [3 per cell]
Th  0.0000  0.0000  0.1913 [3 per cell]
C  0.0000  0.0000  0.5908 [3 per cell]
F  0.0000  0.0000  0.7598 [3 per cell]

Summary:
For the total magnetization, the calculation gives 0.000 μB per atom. Its formation energy without anion corrections is -1.39 eV per atom.